(1)
VASP calculation (PBE) on an optimized crystal structure of RePt4Rh3.

Output
As for the energy above the lowest structure with this stoichiometry: 0.0000 eV/atom.

Lattice parameters (Å, degrees): 3.8920 3.9159 15.7269 90.00 90.00 90.00
Closest atoms and distances in Å follow each position.
Space group Immm (No. 71)
Asymmetric unit:
Re: 0.0000 0.0000 0.0000 (multiplicity 2)  8 Rh 2.69-2.76, 4 Pt 2.71
Pt: 0.0000 0.0000 0.2528 (multiplicity 4)  8 Pt 2.76-2.87, 4 Rh 2.82-2.87
Pt: 0.0000 0.5000 0.1191 (multiplicity 4)  6 Rh 2.70-2.76, 2 Re 2.71, 4 Pt 2.80-2.87
Rh: 0.0000 0.0000 0.5000 (multiplicity 2)  4 Rh 2.70, 4 Pt 2.70, 4 Re 2.76
Rh: 0.0000 0.5000 0.3818 (multiplicity 4)  2 Re 2.69, 2 Rh 2.70, 8 Pt 2.76-2.87

(2)
VASP calculation (PBE) on an optimized crystal structure of RePt4Rh6.

Output
The calculation puts the calculated total energy at -7.12 eV per atom.

Lattice parameters (Å, degrees): 4.5892 7.2752 20.2811 90.00 90.00 90.00
Closest atoms and distances in Å follow each position.
Space group Cmcm (No. 63)
Asymmetric unit:
Re: 0.0000 0.2447 0.2500 (multiplicity 4)  5 Rh 2.52-2.71
Pt: 0.0000 0.1340 0.5457 (multiplicity 8)  7 Rh 2.66-2.88, 2 Pt 2.67-2.69
Pt: 0.0000 0.4285 0.6245 (multiplicity 8)  8 Rh 2.55-2.83, 1 Pt 2.67
Rh: 0.0000 0.0807 0.6853 (multiplicity 8)  5 Rh 2.62-2.92, 3 Re 2.71-2.93, 4 Pt 2.82-2.86
Rh: 0.0000 0.2227 0.1068 (multiplicity 8)  5 Pt 2.56-2.81, 1 Rh 2.72
Rh: 0.0000 0.4086 0.7500 (multiplicity 4)  3 Re 2.52-2.55, 2 Pt 2.55, 2 Rh 2.72
Rh: 0.0000 0.5000 0.0000 (multiplicity 4)  8 Pt 2.58-2.82

(3)
VASP calculation (PBE) on an optimized crystal structure of RePtRh2.

Output
As for the energy above the lowest structure with this stoichiometry: 0.4309 eV/atom.

Lattice parameters (Å, degrees): 6.2103 6.2103 6.2103 90.00 90.00 90.00
Closest atoms and distances in Å follow each position.
Space group F-43m (No. 216)
Asymmetric unit:
Re: 0.0000 0.0000 0.0000 (multiplicity 4)  4 Rh 2.69, 4 Pt 2.69
Pt: 0.2500 0.2500 0.7500 (multiplicity 4)  4 Re 2.69, 4 Rh 2.69
Rh: 0.0000 0.0000 0.5000 (multiplicity 4)  4 Rh 2.69, 4 Pt 2.69
Rh: 0.2500 0.2500 0.2500 (multiplicity 4)  4 Re 2.69, 4 Rh 2.69

(4)
VASP calculation (PBE) on an optimized crystal structure of RePt3Rh2.

Output
As for the energy above the lowest structure with this stoichiometry: 0.0000 eV/atom.

Lattice parameters (Å, degrees): 13.6948 2.7364 10.9611 90.00 114.90 90.00
Closest atoms and distances in Å follow each position.
Space group C2/m (No. 12)
Asymmetric unit:
Re: 0.0723 0.0000 0.1615 (multiplicity 4)  4 Rh 2.54-2.65, 4 Pt 2.69-2.77, 2 Re 2.74
Pt: 0.0441 0.5000 0.7242 (multiplicity 4)  6 Pt 2.74-2.91, 3 Rh 2.75, 2 Re 2.77
Pt: 0.1063 0.0000 0.5440 (multiplicity 4)  6 Pt 2.65-2.81, 3 Rh 2.69-2.73
Pt: 0.2499 0.0000 0.8095 (multiplicity 4)  2 Re 2.69, 4 Rh 2.70-2.79, 5 Pt 2.74-2.91
Rh: 0.1314 0.0000 0.9636 (multiplicity 4)  2 Re 2.54-2.62, 5 Pt 2.70-2.79, 2 Rh 2.74
Rh: 0.1774 0.5000 0.3858 (multiplicity 4)  2 Re 2.65, 5 Pt 2.69-2.75, 4 Rh 2.74-2.81

(5)
VASP calculation (PBE) on an optimized crystal structure of RePtRh2.

Output
As for the energy above the lowest structure with this stoichiometry: 0.0654 eV/atom.

Lattice parameters (Å, degrees): 2.7264 3.9313 5.4612 90.00 90.00 90.00
Closest atoms and distances in Å follow each position.
Space group Pmm2 (No. 25)
Asymmetric unit:
Re: 0.0000 0.0000 0.0000 (multiplicity 1)  6 Rh 2.66-2.80, 2 Re 2.73, 4 Pt 2.77
Pt: 0.5000 0.5000 0.7444 (multiplicity 1)  6 Rh 2.66-2.80, 2 Pt 2.73, 4 Re 2.77
Rh: 0.0000 0.0000 0.4867 (multiplicity 1)  2 Re 2.66-2.80, 6 Rh 2.73-2.77, 4 Pt 2.78
Rh: 0.5000 0.5000 0.2323 (multiplicity 1)  2 Pt 2.66-2.80, 4 Re 2.71, 6 Rh 2.73-2.77

(6)
VASP calculation (PBE) on an optimized crystal structure of Re3Pt2Rh2.

Output
The calculation puts the calculated total energy at -8.99 eV per atom.

Lattice parameters (Å, degrees): 8.4782 3.8729 7.7123 90.00 117.21 90.00
Closest atoms and distances in Å follow each position.
Space group C2/m (No. 12)
Asymmetric unit:
Re: 0.0000 0.0000 0.0000 (multiplicity 2)  2 Re 2.70, 6 Rh 2.70-2.73, 4 Pt 2.77
Re: 0.0539 0.0000 0.3734 (multiplicity 4)  2 Re 2.51-2.70, 4 Pt 2.61-2.69, 2 Rh 2.67
Pt: 0.2087 0.5000 0.2610 (multiplicity 4)  6 Re 2.61-2.77, 4 Rh 2.66-2.81
Rh: 0.1408 0.5000 0.8683 (multiplicity 4)  4 Pt 2.66-2.81, 5 Re 2.67-2.73, 2 Rh 2.80

(7)
VASP calculation (PBE) on an optimized crystal structure of RePtRh2.

Output
As for the energy above the lowest structure with this stoichiometry: 0.0998 eV/atom.

Lattice parameters (Å, degrees): 5.4497 5.4578 7.8582 90.00 90.00 90.00
Closest atoms and distances in Å follow each position.
Space group F222 (No. 22)
Asymmetric unit:
Re: 0.0000 0.0000 0.0000 (multiplicity 4)  8 Rh 2.72-2.75, 4 Pt 2.75
Pt: 0.2500 0.2500 0.7500 (multiplicity 4)  8 Rh 2.72-2.75, 4 Re 2.75
Rh: 0.0000 0.0000 0.5000 (multiplicity 4)  4 Re 2.72-2.73, 4 Rh 2.75, 4 Pt 2.75
Rh: 0.2500 0.2500 0.2500 (multiplicity 4)  4 Pt 2.72-2.73, 4 Re 2.75, 4 Rh 2.75

(8)
VASP calculation (PBE) on an optimized crystal structure of RePt2Rh.

Output
As for the energy above the lowest structure with this stoichiometry: 0.1332 eV/atom.

Lattice parameters (Å, degrees): 2.7763 2.7763 27.1085 90.00 90.00 120.00
Closest atoms and distances in Å follow each position.
Space group R-3m (No. 166, hexagonal axes)
Asymmetric unit:
Re: 0.0000 0.0000 0.0000 (multiplicity 3)  6 Pt 2.73, 6 Re 2.78
Pt: 0.0000 0.0000 0.2517 (multiplicity 6)  3 Re 2.73, 6 Pt 2.78, 3 Rh 2.81
Rh: 0.0000 0.0000 0.5000 (multiplicity 3)  6 Rh 2.78, 6 Pt 2.81

(9)
VASP calculation (PBE) on an optimized crystal structure of Re3PtRh.

Output
The calculation puts the calculated total energy at -7.60 eV per atom.

Lattice parameters (Å, degrees): 4.6866 4.6866 4.6866 90.00 90.00 90.00
Closest atoms and distances in Å follow each position.
Space group Pm-3m (No. 221)
Asymmetric unit:
Re: 0.0000 0.0000 0.5000 (multiplicity 3)  2 Pt 2.34
Pt: 0.0000 0.0000 0.0000 (multiplicity 1)  6 Re 2.34
Rh: 0.5000 0.5000 0.5000 (multiplicity 1)  12 Re 3.31

(10)
VASP calculation (PBE) on an optimized crystal structure of RePtRh3.

Output
As for the energy above the lowest structure with this stoichiometry: 0.2953 eV/atom.

Lattice parameters (Å, degrees): 3.8603 11.3269 7.4562 90.00 90.00 90.00
Closest atoms and distances in Å follow each position.
Space group Cmcm (No. 63)
Asymmetric unit:
Re: 0.0000 0.1779 0.2500 (multiplicity 4)  8 Rh 2.62-2.66, 2 Pt 2.74
Pt: 0.0000 0.0000 0.0000 (multiplicity 4)  6 Rh 2.65-2.66, 2 Re 2.74
Rh: 0.0000 0.1661 0.7500 (multiplicity 4)  2 Re 2.62, 6 Rh 2.64-2.74, 2 Pt 2.65
Rh: 0.0000 0.3383 0.5113 (multiplicity 8)  3 Re 2.63-2.66, 5 Rh 2.64-2.78, 2 Pt 2.66

(11)
VASP calculation (PBE) on an optimized crystal structure of RePt2Rh.

Output
As for the energy above the lowest structure with this stoichiometry: 0.4062 eV/atom.

Lattice parameters (Å, degrees): 6.2575 6.2575 6.2575 90.00 90.00 90.00
Closest atoms and distances in Å follow each position.
Space group F-43m (No. 216)
Asymmetric unit:
Re: 0.0000 0.0000 0.0000 (multiplicity 4)  4 Rh 2.71, 4 Pt 2.71
Pt: 0.0000 0.0000 0.5000 (multiplicity 4)  4 Rh 2.71, 4 Pt 2.71
Pt: 0.2500 0.2500 0.7500 (multiplicity 4)  4 Re 2.71, 4 Pt 2.71
Rh: 0.2500 0.2500 0.2500 (multiplicity 4)  4 Re 2.71, 4 Pt 2.71

(12)
VASP calculation (PBE) on an optimized crystal structure of RePtRh.

Output
As for the energy above the lowest structure with this stoichiometry: 0.0491 eV/atom.

Lattice parameters (Å, degrees): 10.3809 2.7499 6.4674 90.00 104.47 90.00
Closest atoms and distances in Å follow each position.
Space group C2/m (No. 12)
Asymmetric unit:
Re: 0.1442 0.0000 0.0236 (multiplicity 4)  3 Rh 2.64-2.72, 5 Re 2.67-2.93, 4 Pt 2.73-2.74
Pt: 0.0291 0.5000 0.2949 (multiplicity 4)  4 Re 2.73-2.74, 3 Pt 2.75-2.86, 5 Rh 2.77-2.85
Rh: 0.1974 0.0000 0.6455 (multiplicity 4)  3 Re 2.64-2.72, 4 Rh 2.75-2.77, 5 Pt 2.77-2.85